Entry 1:
Below is a relaxed Sm2InSn4 crystal, with properties calculated at the PBE level.

Properties
- Raw total energy: -4.48 eV per atom
- ΔE to the lowest computed polymorph: 0.00 eV per formula unit
- ΔE_f: -0.452 eV per atom
- V: 28.7 Å³/atom

Lattice parameters (Å, degrees): 6.6009 6.5635 6.5545 60.42 59.86 59.72
With the nearest neighbours (Å) after each atom.
Positions (direct):
1 Sm 0.0000 0.5000 0.0000  8 Sn 3.28-3.30, 2 In 3.28
2 Sm 0.5000 0.0000 0.5000  8 Sn 3.28-3.30, 2 In 3.28
3 In 0.0000 0.0000 0.0000  8 Sn 3.28-3.30, 4 Sm 3.28
4 Sn 0.0000 0.0000 0.5000  2 In 3.28, 4 Sn 3.28, 4 Sm 3.30
5 Sn 0.0000 0.5000 0.5000  4 Sm 3.28, 4 Sn 3.28, 2 In 3.30
6 Sn 0.5000 0.0000 0.0000  4 Sm 3.28, 4 Sn 3.28, 2 In 3.30
7 Sn 0.5000 0.5000 0.0000  2 In 3.28, 4 Sn 3.28, 4 Sm 3.30

Entry 2:
Below is a relaxed Sm3In2Sn crystal, with properties calculated at the PBE level.

Properties
- Raw total energy: -4.46 eV per atom
- ΔE to the lowest computed polymorph: 0.20 eV per formula unit
- ΔE_f: -0.521 eV per atom
- V: 28.4 Å³/atom

Lattice parameters (Å, degrees): 8.7963 8.7963 6.5460 101.65 101.65 43.49
With the nearest neighbours (Å) after each atom.
Positions (direct):
1 Sm 0.1411 0.8589 0.7500  4 Sn 3.25-3.56, 4 In 3.25-3.44, 2 Sm 3.52
2 Sm 0.2128 0.4489 0.4081  5 In 3.15-3.48, 1 Sn 3.16, 1 Sm 3.52
3 Sm 0.4489 0.2128 0.9081  5 In 3.15-3.48, 1 Sn 3.16, 1 Sm 3.52
4 Sm 0.5511 0.7872 0.0919  5 In 3.15-3.48, 1 Sn 3.16, 1 Sm 3.52
5 Sm 0.7872 0.5511 0.5919  5 In 3.15-3.48, 1 Sn 3.16, 1 Sm 3.52
6 Sm 0.8589 0.1411 0.2500  4 Sn 3.25-3.56, 4 In 3.25-3.44, 2 Sm 3.52
7 In 0.0474 0.2849 0.0533  7 Sm 3.15-3.48, 1 Sn 3.37, 1 In 3.43
8 In 0.2849 0.0474 0.5533  7 Sm 3.15-3.48, 1 Sn 3.37, 1 In 3.43
9 In 0.7151 0.9526 0.4467  7 Sm 3.15-3.48, 1 Sn 3.37, 1 In 3.43
10 In 0.9526 0.7151 0.9467  7 Sm 3.15-3.48, 1 Sn 3.37, 1 In 3.43
11 Sn 0.3568 0.6432 0.2500  4 Sm 3.16-3.27, 2 In 3.37
12 Sn 0.6432 0.3568 0.7500  4 Sm 3.16-3.27, 2 In 3.37

Entry 3:
Below is a relaxed SmInSn crystal, with properties calculated at the PBE level.

Properties
- Raw total energy: -4.28 eV per atom
- ΔE to the lowest computed polymorph: 0.19 eV per formula unit
- ΔE_f: -0.461 eV per atom
- V: 28.2 Å³/atom

Lattice parameters (Å, degrees): 4.6824 4.6824 4.4600 90.00 90.00 120.00
With the nearest neighbours (Å) after each atom.
Positions (direct):
1 Sm 0.0000 0.0000 0.0000  3 In 3.17, 3 Sn 3.23
2 In 0.6667 0.3333 0.6295  3 Sn 2.90, 3 Sm 3.17
3 Sn 0.3333 0.6667 0.3943  3 In 2.90, 3 Sm 3.23